Record 1
# ErMgZn4 | Alexandria via LeMat-Bulk | PBE | relaxed
data_ErMgZn4
_chemical_formula_sum 'Er1 Mg1 Zn4'
_space_group_name_H-M_alt 'P 1'
_space_group_IT_number 1
_space_group_name_Hall 'P 1'
_cell_length_a 8.025
_cell_length_b 8.025
_cell_length_c 8.025
_cell_angle_alpha 151.04
_cell_angle_beta 151.04
_cell_angle_gamma 41.41
loop_
_atom_site_label
_atom_site_type_symbol
_atom_site_fract_x
_atom_site_fract_y
_atom_site_fract_z
Er1 Er 0.000 0.000 0.000
Mg1 Mg 0.250 0.750 0.500
Zn1 Zn 0.418 0.418 0.000
Zn2 Zn 0.582 0.582 0.000
Zn3 Zn 0.670 0.170 0.500
Zn4 Zn 0.830 0.330 0.500
# * SG: No. 119
# * magnetic moment: 0.000 Bohr magnetons per cell
# * VASP energy: -11.95 eV/f.u.



Record 2
# EuCdF2 | Alexandria via LeMat-Bulk | PBE | relaxed
data_EuCdF2
_chemical_formula_sum 'Eu1 Cd1 F2'
_space_group_name_H-M_alt 'P 1'
_space_group_IT_number 1
_space_group_name_Hall 'P 1'
_cell_length_a 6.671
_cell_length_b 6.671
_cell_length_c 6.671
_cell_angle_alpha 36.65
_cell_angle_beta 36.65
_cell_angle_gamma 36.65
loop_
_atom_site_label
_atom_site_type_symbol
_atom_site_fract_x
_atom_site_fract_y
_atom_site_fract_z
Eu1 Eu 0.000 0.000 0.000
Cd1 Cd 0.500 0.500 0.500
F1 F 0.122 0.122 0.122
F2 F 0.878 0.878 0.878
# * SG: No. 166
# * magnetic moment: 7.220 Bohr magnetons per cell
# * uncorrected formation energy: -1.84 eV/atom



Record 3
# PmPr2Co9 | Alexandria via LeMat-Bulk | PBE | relaxed
data_PmPr2Co9
_chemical_formula_sum 'Pm1 Pr2 Co9'
_space_group_name_H-M_alt 'P 1'
_space_group_IT_number 1
_space_group_name_Hall 'P 1'
_cell_length_a 8.818
_cell_length_b 8.818
_cell_length_c 8.818
_cell_angle_alpha 33.29
_cell_angle_beta 33.29
_cell_angle_gamma 33.29
loop_
_atom_site_label
_atom_site_type_symbol
_atom_site_fract_x
_atom_site_fract_y
_atom_site_fract_z
Pm1 Pm 0.000 0.000 0.000
Pr1 Pr 0.140 0.140 0.140
Pr2 Pr 0.860 0.860 0.860
Co1 Co 0.083 0.577 0.577
Co2 Co 0.333 0.333 0.333
Co3 Co 0.423 0.423 0.917
Co4 Co 0.423 0.917 0.423
Co5 Co 0.500 0.500 0.500
Co6 Co 0.577 0.083 0.577
Co7 Co 0.577 0.577 0.083
Co8 Co 0.667 0.667 0.667
Co9 Co 0.917 0.423 0.423
# * SG: No. 166
# * magnetic moment: 10.238 Bohr magnetons per cell
# * VASP energy: -78.66 eV/f.u.



Record 4
# CeZnHgAu | Alexandria via LeMat-Bulk | PBE | relaxed
data_CeZnHgAu
_chemical_formula_sum 'Ce1 Zn1 Hg1 Au1'
_space_group_name_H-M_alt 'P 1'
_space_group_IT_number 1
_space_group_name_Hall 'P 1'
_cell_length_a 5.004
_cell_length_b 5.004
_cell_length_c 5.004
_cell_angle_alpha 60.00
_cell_angle_beta 60.00
_cell_angle_gamma 60.00
loop_
_atom_site_label
_atom_site_type_symbol
_atom_site_fract_x
_atom_site_fract_y
_atom_site_fract_z
Ce1 Ce 0.000 0.000 0.000
Zn1 Zn 0.500 0.500 0.500
Hg1 Hg 0.750 0.750 0.750
Au1 Au 0.250 0.250 0.250
# * SG: No. 216
# * magnetic moment: 0.618 Bohr magnetons per cell
# * VASP energy: -12.34 eV/f.u.